No. 1
VASP calculation (PBEsol) on crystalline Tl2PIr at its relaxed geometry.

```
Tl2PIr
1.0
-2.4143 -0.2690 2.5493
0.5100 -5.1652 -0.0620
3.2929 2.8922 3.4237
Tl Ir P
2 1 1
Direct
0.5000 0.3048 0.6096
0.0000 0.9720 0.9441
0.0000 0.5453 0.0905
0.5000 0.6843 0.3686
```

Summary:
As for the symmetry: Amm2. The relative energy among the computed polymorphs is 17 meV per atom.


No. 2
VASP calculation (PBEsol) on crystalline TlP2Ir at its relaxed geometry.

```
TlP2Ir
1.0
4.5241 0.0000 0.0000
2.2620 3.9180 0.0000
2.2620 1.3060 3.6939
Ir P Tl
1 2 1
Direct
0.0000 0.0000 0.0000
0.7500 0.7500 0.7500
0.2500 0.2500 0.2500
0.5000 0.5000 0.5000
```

Summary:
As for the symmetry: Fm-3m. The relative energy among the computed polymorphs is 273 meV per atom.


No. 3
VASP calculation (PBEsol) on crystalline Tl2PIr at its relaxed geometry.

```
Tl2PIr
1.0
3.1434 0.0000 0.0000
0.0000 3.1434 0.0000
0.0000 0.0000 8.5339
Tl Ir P
2 1 1
Direct
0.5000 0.5000 0.2992
0.0000 0.0000 0.9509
0.0000 0.0000 0.5728
0.5000 0.5000 0.6771
```

Summary:
As for the symmetry: P4mm. The relative energy among the computed polymorphs is 0 meV per atom.


No. 4
VASP calculation (PBEsol) on crystalline P2IrW at its relaxed geometry.

```
P2IrW
1.0
4.3226 0.0000 0.0000
2.1613 3.7435 0.0000
2.1613 1.2478 3.5294
W Ir P
1 1 2
Direct
0.7500 0.7500 0.7500
0.5000 0.5000 0.5000
0.0000 0.0000 0.0000
0.2500 0.2500 0.2500
```

Summary:
As for the symmetry: F-43m.


No. 5
VASP calculation (PBEsol) on crystalline PIr2W at its relaxed geometry.

```
PIr2W
1.0
2.7936 0.0000 0.0000
0.0000 4.4838 0.0000
0.0000 0.0000 4.5009
Ir W P
2 1 1
Direct
0.5000 0.0000 0.5000
0.0000 0.0000 0.0000
0.0000 0.5000 0.5000
0.5000 0.5000 0.0000
```

Summary:
As for the symmetry: Pmmm.


No. 6
VASP calculation (PBEsol) on crystalline P4IrW at its relaxed geometry.

```
P4IrW
1.0
4.8490 0.0000 0.0000
2.4245 4.1994 0.0000
2.4245 1.3998 3.9592
Ir P W
1 4 1
Direct
0.0000 0.0000 0.0000
0.3748 0.3748 0.8757
0.3748 0.8757 0.3748
0.8757 0.3748 0.3748
0.3748 0.3748 0.3748
0.7500 0.7500 0.7500
```

Summary:
As for the symmetry: F-43m.


No. 7
VASP calculation (PBEsol) on crystalline P2IrW at its relaxed geometry.

```
P2IrW
1.0
2.9059 0.0000 0.0000
1.4530 4.6282 0.0700
1.4530 1.8744 4.2322
Ir W P
1 1 2
Direct
0.0000 0.5000 0.5000
0.5000 0.0000 0.0000
0.7433 0.2567 0.2567
0.2567 0.7433 0.7433
```

Summary:
As for the symmetry: Immm.


No. 8
VASP calculation (PBEsol) on crystalline Y3PIr at its relaxed geometry.

```
Y3PIr
1.0
-3.6768 3.1827 -1.9411
-2.9056 -4.1548 -1.3084
-2.3355 0.1584 4.6837
Y P Ir
3 1 1
Direct
0.5000 0.0000 0.0000
0.0000 0.5000 0.0000
0.0000 0.0000 0.5000
0.5000 0.5000 0.5000
0.0000 0.0000 0.0000
```

Summary:
As for the symmetry: Pm-3m.


| no. | DOS at the Fermi energy (states/eV/f.u.) | raw total energy (eV/atom) |
| --- | --- | --- |
| 1 | 1.29 | -5.18 |
| 2 | 0.63 | -5.48 |
| 3 | 2.49 | -5.19 |
| 4 | 3.92 | -8.30 |
| 5 | 2.01 | -9.74 |
| 6 | 4.00 | -7.01 |
| 7 | 2.71 | -8.53 |
| 8 | 5.68 | -7.45 |